This record from Alexandria describes a relaxed structure of CaWOF2. The functional is PBE+U.

Cell lengths 4.4020, 4.4020, 4.2395 Å; angles 90.00, 90.00, 90.00 degrees
Positions (direct):
Ca (0.0000, 0.0000, 0.0000)
W (0.5000, 0.5000, 0.5000)
O (0.5000, 0.5000, 0.0000)
F (0.0000, 0.5000, 0.5000)
F (0.5000, 0.0000, 0.5000)

Results
The density comes out at 5.617 Mg/m³. The density of states at the Fermi level is 0.24 states/eV per atom. The calculation puts the energy above the most stable polymorph in this dataset at 0 meV/atom.

***

This record from Alexandria describes a relaxed structure of VCuAgO4. The functional is PBE+U.

Cell lengths 9.2732, 6.9405, 5.4593 Å; angles 90.00, 90.00, 90.00 degrees
Positions (direct):
V (0.1925, 0.2500, 0.0764)
V (0.3075, 0.7500, 0.5764)
V (0.6925, 0.2500, 0.4236)
V (0.8075, 0.7500, 0.9236)
Cu (0.0000, 0.0000, 0.5000)
Cu (0.0000, 0.5000, 0.5000)
Cu (0.5000, 0.0000, 0.0000)
Cu (0.5000, 0.5000, 0.0000)
Ag (0.1368, 0.7500, 0.0333)
Ag (0.3632, 0.2500, 0.5333)
Ag (0.6368, 0.7500, 0.4667)
Ag (0.8632, 0.2500, 0.9667)
O (0.1074, 0.7500, 0.5856)
O (0.1292, 0.0458, 0.2315)
O (0.1294, 0.2500, 0.7827)
O (0.1292, 0.4542, 0.2315)
O (0.3708, 0.5458, 0.7315)
O (0.3706, 0.7500, 0.2827)
O (0.3708, 0.9542, 0.7315)
O (0.3926, 0.2500, 0.0856)
O (0.6074, 0.7500, 0.9144)
O (0.6292, 0.0458, 0.2685)
O (0.6294, 0.2500, 0.7173)
O (0.6292, 0.4542, 0.2685)
O (0.8708, 0.5458, 0.7685)
O (0.8706, 0.7500, 0.2173)
O (0.8708, 0.9542, 0.7685)
O (0.8926, 0.2500, 0.4144)

Results
The density comes out at 5.413 Mg/m³. The density of states at the Fermi level is 0.20 states/eV per atom. The calculation puts the energy above the most stable polymorph in this dataset at 0 meV/atom.